A) A plane-wave DFT calculation with PBE-GGA was carried out for crystalline HoSnAuS3 at its relaxed geometry.

Cell lengths 10.2525, 4.0471, 14.2955 Å; angles 90.00, 90.00, 90.00 degrees
Space group Pnma (No. 62)
Asymmetric unit:
1 Ho 0.0160 0.2500 0.2370 (multiplicity 4)
2 Sn 0.2317 0.7500 0.4410 (multiplicity 4)
3 Au 0.2429 0.2500 0.5995 (multiplicity 4)
4 S 0.0184 0.2500 0.6314 (multiplicity 4)
5 S 0.0291 0.7500 0.1114 (multiplicity 4)
6 S 0.2424 0.7500 0.8152 (multiplicity 4)

Calculated volume = 593 Å³ per cell
Size of the total moment = 0.0 μB/cell

=====

B) A plane-wave DFT calculation with PBE-GGA was carried out for crystalline HoSnAuS3 at its relaxed geometry.

Cell lengths 14.4234, 4.0665, 10.9176 Å; angles 90.00, 90.00, 90.00 degrees
Space group Pnma (No. 62)
Asymmetric unit:
1 Ho 0.0110 0.2500 0.1543 (multiplicity 4)
2 Sn 0.2419 0.2500 0.9205 (multiplicity 4)
3 Au 0.1071 0.2500 0.5400 (multiplicity 4)
4 S 0.0962 0.2500 0.7517 (multiplicity 4)
5 S 0.1036 0.7500 0.0400 (multiplicity 4)
6 S 0.1481 0.2500 0.3314 (multiplicity 4)

Calculated volume = 640 Å³ per cell
Size of the total moment = 0.0 μB/cell

=====

A) (2.3 kJ/mol of atoms below the next structure)

=====

A) A plane-wave DFT calculation with PBE-GGA was carried out for crystalline HoSnTe3Au at its relaxed geometry.

Cell lengths 10.3780, 4.4309, 16.6665 Å; angles 90.00, 90.00, 90.00 degrees
Space group Pnma (No. 62)
Asymmetric unit:
1 Ho 0.1977 0.2500 0.0353 (multiplicity 4)
2 Sn 0.1624 0.7500 0.2820 (multiplicity 4)
3 Te 0.0272 0.7500 0.1200 (multiplicity 4)
4 Te 0.1354 0.2500 0.4649 (multiplicity 4)
5 Te 0.1822 0.7500 0.7053 (multiplicity 4)
6 Au 0.1207 0.7500 0.9090 (multiplicity 4)

Calculated volume = 766 Å³ per cell
Size of the total moment = 0.0 μB/cell

=====

B) A plane-wave DFT calculation with PBE-GGA was carried out for crystalline HoSnTe3Au at its relaxed geometry.

Cell lengths 4.2686, 14.8123, 11.0609 Å; angles 90.00, 90.00, 90.00 degrees
Space group Cmcm (No. 63)
Asymmetric unit:
1 Ho 0.0000 0.0000 0.0000 (multiplicity 4)
2 Sn 0.0000 0.2224 0.2500 (multiplicity 4)
3 Te 0.0000 0.0962 0.7500 (multiplicity 4)
4 Te 0.0000 0.3520 0.5535 (multiplicity 8)
5 Au 0.0000 0.4706 0.7500 (multiplicity 4)

Calculated volume = 699 Å³ per cell
Size of the total moment = 0.0 μB/cell

=====

C) A plane-wave DFT calculation with PBE-GGA was carried out for crystalline HoSnTe3Au at its relaxed geometry.

Cell lengths 13.3057, 4.4495, 12.2277 Å; angles 90.00, 90.00, 90.00 degrees
Space group Pnma (No. 62)
Asymmetric unit:
1 Ho 0.0182 0.2500 0.1942 (multiplicity 4)
2 Sn 0.2382 0.2500 0.4194 (multiplicity 4)
3 Te 0.0333 0.7500 0.3655 (multiplicity 4)
4 Te 0.0980 0.2500 0.9502 (multiplicity 4)
5 Te 0.1956 0.7500 0.6783 (multiplicity 4)
6 Au 0.1926 0.7500 0.2277 (multiplicity 4)

Calculated volume = 724 Å³ per cell
Size of the total moment = 0.0 μB/cell

=====

B) (1.7 kJ/mol of atoms below the next structure)

=====

A) A plane-wave DFT calculation with PBE-GGA was carried out for crystalline HoSnTe3Au at its relaxed geometry.

Cell lengths 14.5086, 4.2812, 11.5354 Å; angles 90.00, 90.00, 90.00 degrees
Space group Pnma (No. 62)
Asymmetric unit:
1 Ho 0.0078 0.2500 0.1832 (multiplicity 4)
2 Sn 0.2241 0.2500 0.4431 (multiplicity 4)
3 Te 0.1088 0.2500 0.9442 (multiplicity 4)
4 Te 0.1270 0.7500 0.6173 (multiplicity 4)
5 Te 0.1522 0.7500 0.2482 (multiplicity 4)
6 Au 0.0067 0.7500 0.4063 (multiplicity 4)

Calculated volume = 717 Å³ per cell
Size of the total moment = 0.0 μB/cell

=====

B) A plane-wave DFT calculation with PBE-GGA was carried out for crystalline HoSnTe3Au at its relaxed geometry.

Cell lengths 12.7965, 4.3682, 12.6091 Å; angles 90.00, 90.00, 90.00 degrees
Space group Pnma (No. 62)
Asymmetric unit:
1 Ho 0.0401 0.2500 0.1905 (multiplicity 4)
2 Sn 0.2001 0.2500 0.4675 (multiplicity 4)
3 Te 0.0226 0.7500 0.3647 (multiplicity 4)
4 Te 0.0891 0.2500 0.9347 (multiplicity 4)
5 Te 0.2219 0.7500 0.6723 (multiplicity 4)
6 Au 0.2306 0.7500 0.3072 (multiplicity 4)

Calculated volume = 705 Å³ per cell
Size of the total moment = 0.0 μB/cell

=====

A) (4.7 kJ/mol of atoms below the next structure)

=====

A) A plane-wave DFT calculation with PBE-GGA was carried out for crystalline HoSnTe3Au at its relaxed geometry.

Cell lengths 19.7676, 4.2495, 8.7745 Å; angles 90.00, 100.91, 90.00 degrees
Space group C2/m (No. 12)
Asymmetric unit:
1 Ho 0.1600 0.0000 0.0920 (multiplicity 4)
2 Sn 0.1233 0.0000 0.5754 (multiplicity 4)
3 Te 0.0000 0.0000 0.0000 (multiplicity 2)
4 Te 0.0000 0.5000 0.5000 (multiplicity 2)
5 Te 0.1777 0.5000 0.8503 (multiplicity 4)
6 Te 0.1896 0.5000 0.3520 (multiplicity 4)
7 Au 0.0537 0.5000 0.2140 (multiplicity 4)

Calculated volume = 724 Å³ per cell
Size of the total moment = 0.0 μB/cell

=====

B) A plane-wave DFT calculation with PBE-GGA was carried out for crystalline HoSnTe3Au at its relaxed geometry.

Cell lengths 8.2613, 4.2922, 10.6502 Å; angles 90.00, 107.07, 90.00 degrees
Space group P2_1/m (No. 11)
Asymmetric unit:
1 Ho 0.2069 0.2500 0.1800 (multiplicity 2)
2 Sn 0.2150 0.7500 0.7073 (multiplicity 2)
3 Te 0.0778 0.2500 0.8729 (multiplicity 2)
4 Te 0.2049 0.2500 0.4692 (multiplicity 2)
5 Te 0.4616 0.7500 0.1636 (multiplicity 2)
6 Au 0.3952 0.7500 0.4024 (multiplicity 2)

Calculated volume = 361 Å³ per cell
Size of the total moment = 0.0 μB/cell

=====

B) (2.6 kJ/mol of atoms below the next structure)

=====

A) A plane-wave DFT calculation with PBE-GGA was carried out for crystalline HoTlTe3Au at its relaxed geometry.

Cell lengths 4.1779, 15.8313, 11.1938 Å; angles 90.00, 90.00, 90.00 degrees
Space group Cmcm (No. 63)
Asymmetric unit:
1 Ho 0.0000 0.0000 0.0000 (multiplicity 4)
2 Tl 0.0000 0.2365 0.2500 (multiplicity 4)
3 Te 0.0000 0.0836 0.7500 (multiplicity 4)
4 Te 0.0000 0.3618 0.5511 (multiplicity 8)
5 Au 0.0000 0.4669 0.7500 (multiplicity 4)

Calculated volume = 740 Å³ per cell
Size of the total moment = 0.0 μB/cell

=====

B) A plane-wave DFT calculation with PBE-GGA was carried out for crystalline HoTlTe3Au at its relaxed geometry.

Cell lengths 8.8341, 4.2012, 10.9224 Å; angles 90.00, 110.46, 90.00 degrees
Space group P2_1/m (No. 11)
Asymmetric unit:
1 Ho 0.1957 0.2500 0.1579 (multiplicity 2)
2 Tl 0.2394 0.7500 0.7070 (multiplicity 2)
3 Te 0.0647 0.2500 0.8602 (multiplicity 2)
4 Te 0.2436 0.2500 0.4508 (multiplicity 2)
5 Te 0.4414 0.7500 0.1456 (multiplicity 2)
6 Au 0.4135 0.7500 0.3881 (multiplicity 2)

Calculated volume = 380 Å³ per cell
Size of the total moment = 0.0 μB/cell

=====

A) (1.7 kJ/mol of atoms below the next structure)

=====

A) A plane-wave DFT calculation with PBE-GGA was carried out for crystalline YHoAu4 at its relaxed geometry.

Cell lengths 3.7282, 3.7282, 9.0388 Å; angles 90.00, 90.00, 90.00 degrees
Space group P4/mmm (No. 123)
Asymmetric unit:
1 Y 0.0000 0.0000 0.0000 (multiplicity 1)
2 Ho 0.5000 0.5000 0.5000 (multiplicity 1)
3 Au 0.0000 0.0000 0.3348 (multiplicity 2)
4 Au 0.5000 0.5000 0.1656 (multiplicity 2)

Calculated volume = 126 Å³ per cell
Size of the total moment = 0.0 μB/cell

=====

B) A plane-wave DFT calculation with PBE-GGA was carried out for crystalline YHoAu4 at its relaxed geometry.

Cell lengths 4.6281, 6.7541, 8.2553 Å; angles 90.00, 90.00, 90.00 degrees
Space group Imm2 (No. 44)
Asymmetric unit:
1 Y 0.0000 0.0000 0.0000 (multiplicity 2)
2 Ho 0.0000 0.5000 0.0777 (multiplicity 2)
3 Au 0.0000 0.2205 0.3746 (multiplicity 4)
4 Au 0.0000 0.2776 0.7006 (multiplicity 4)

Calculated volume = 258 Å³ per cell
Size of the total moment = 0.0 μB/cell

=====

A) (10.4 kJ/mol of atoms below the next structure)